GGA-PBE Ti2VS6, optimized geometry; calculated total energy = -6.635 eV per atom; formation energy without anion corrections = -1.116 eV per atom; size of the total moment = 0.8 μB/cell
1.0
6.9198 -1.6666 0.0000
6.9198 1.6666 0.0000
-3.3547 0.0000 7.9055
Ti V S
2 1 6
Direct
0.1653 0.1653 0.3295 Ti
0.8347 0.8347 0.6705 Ti
0.5000 0.5000 0.0000 V
0.1292 0.1292 0.0312 S
0.2004 0.2004 0.6310 S
0.4681 0.4681 0.7074 S
0.5319 0.5319 0.2926 S
0.7996 0.7996 0.3690 S
0.8708 0.8708 0.9688 S